Entry from Alexandria via LeMat-Bulk: an optimized crystal structure of Rb2SnHg2 (PBE-GGA).

DOS at the Fermi energy (states/eV per cell): 4.7
Crystal system: tetragonal
E above lowest polymorph (eV/atom): 0.359
Formation energy (eV per atom): 0.1309
Space group: I4/mmm, No. 139

The structure in POSCAR format:
```
Rb2SnHg2
1.0
-2.769 2.769 6.917
2.769 -2.769 6.917
2.769 2.769 -6.917
Rb Sn Hg
2 1 2
Direct
0.250 0.750 0.500
0.750 0.250 0.500
0.000 0.000 0.000
0.399 0.399 0.000
0.601 0.601 0.000
```